# 1
BaCa2Mg2 | PBE-GGA | relaxed

```
BaCa2Mg2
1.0
9.3718 0.0000 0.0000
0.0000 9.3718 0.0000
0.0000 0.0000 4.3715
Ca Mg Ba
4 4 2
direct
0.6652 0.8348 0.5000
0.3348 0.1652 0.5000
0.1652 0.6652 0.5000
0.8348 0.3348 0.5000
0.8784 0.6216 0.0000
0.1216 0.3784 0.0000
0.6216 0.1216 0.0000
0.3784 0.8784 0.0000
0.5000 0.5000 0.0000
0.0000 0.0000 0.0000
```

Output
As for the energy above the lowest structure with this stoichiometry: 18 meV per atom. The value obtained for the energy relative to the elements is -0.003 eV/atom. For the total moment, the calculation gives 0.00 μB/f.u.

=====

# 2
BaCa2MgN | PBE-GGA | relaxed

```
BaCa2MgN
1.0
4.9701 0.0000 0.0000
0.0000 4.9701 0.0000
0.0000 0.0000 5.8714
Ca N Ba Mg
2 1 1 1
direct
0.5000 0.0000 0.0000
0.0000 0.5000 0.0000
0.0000 0.0000 0.0000
0.0000 0.0000 0.5000
0.5000 0.5000 0.5000
```

Output
For the uncorrected formation energy, the calculation gives -29.7 kJ/mol of atoms. For the total moment, the calculation gives 0.00 μB/f.u.

=====

# 3
Ba2CaMgN | PBE-GGA | relaxed

```
Ba2CaMgN
1.0
5.8385 0.0000 0.0000
0.0000 5.8385 0.0000
0.0000 0.0000 4.8825
Ca Ba N Mg
1 2 1 1
direct
0.0000 0.0000 0.5000
0.0000 0.5000 0.0000
0.5000 0.0000 0.0000
0.0000 0.0000 0.0000
0.5000 0.5000 0.5000
```

Output
For the uncorrected formation energy, the calculation gives -22.1 kJ/mol of atoms. For the total moment, the calculation gives 0.77 μB/f.u.

=====

# 4
BaCa2MgNb | PBE-GGA | relaxed

```
BaCa2MgNb
1.0
-4.1707 0.0995 4.2256
-1.5274 -5.5708 -1.3764
4.1846 -2.1805 4.1816
Ba Nb Ca Mg
1 1 2 1
direct
0.0000 0.0000 0.5000
0.5000 0.5000 0.5000
0.5000 0.0000 0.0000
0.0000 0.5000 0.0000
0.0000 0.0000 0.0000
```

Output
As for the energy above the lowest structure with this stoichiometry: 442 meV per atom. The value obtained for the energy relative to the elements is 1.069 eV/atom. For the total moment, the calculation gives 4.29 μB/f.u.

=====

# 5
BaCa2MgNb | PBE-GGA | relaxed

```
BaCa2MgNb
1.0
5.6976 0.0000 0.0000
0.0000 5.7001 0.0000
0.0000 0.0000 5.6976
Nb Ba Ca Mg
1 1 2 1
direct
0.0000 0.0000 0.0000
0.5000 0.5000 0.5000
0.0000 0.0000 0.5000
0.5000 0.0000 0.0000
0.0000 0.5000 0.0000
```

Output
As for the energy above the lowest structure with this stoichiometry: 0 meV per atom. The value obtained for the energy relative to the elements is 0.627 eV/atom. For the total moment, the calculation gives 0.94 μB/f.u.

=====

# 6
BaCaNdMg | PBE-GGA | relaxed

```
BaCaNdMg
1.0
6.0233 0.0000 0.0000
3.0116 5.2163 0.0000
3.0116 1.7388 4.9180
Ca Ba Mg Nd
1 1 1 1
direct
0.2500 0.2500 0.2500
0.0000 0.0000 0.0000
0.7500 0.7500 0.7500
0.5000 0.5000 0.5000
```

Output
The value obtained for the energy relative to the elements is 0.107 eV/atom. For the total moment, the calculation gives 0.00 μB/f.u.

=====

Q: The highest total moment belongs to which entry?
A: number 4